Density functional theory data (GGA-PBE) for an optimized crystal structure of NdZn2Cd6.

Cell: 4.3958 4.3958 10.1962 Å, 90.00 90.00 90.00°
Closest atoms and distances in Å follow each position.
Fractional coordinates of all 9 atoms:
Nd1 0.0000 0.0000 0.0000  8 Zn 3.33, 8 Cd 3.60
Zn1 0.5000 0.5000 0.1178  1 Zn 2.40
Zn2 0.5000 0.5000 0.8822  1 Zn 2.40
Cd1 0.0000 0.0000 0.5000  12 Cd 3.11-3.15
Cd2 0.0000 0.5000 0.2792  2 Zn 2.75
Cd3 0.0000 0.5000 0.7208  2 Zn 2.75
Cd4 0.5000 0.0000 0.2792  2 Zn 2.75
Cd5 0.5000 0.0000 0.7208  2 Zn 2.75
Cd6 0.5000 0.5000 0.5000  12 Cd 3.11-3.15

## Properties
Final energy, eV for the cell shown: -14.2
D(E_F), states/eV/f.u.: 4.5
Energy relative to the elements, eV per atom: -0.160